Arrangement i

ZrReRh: relaxed, GGA-PBE.

a b c (Å): 6.2119 6.2119 6.2119
angles (deg): 90.00 90.00 90.00
Space group F-43m (No. 216)
One atom of each set of equivalent atoms:
Zr1 0.0000 0.0000 0.0000 (multiplicity 4)
Re1 0.2500 0.2500 0.2500 (multiplicity 4)
Rh1 0.2500 0.2500 0.7500 (multiplicity 4)

## Properties
The value obtained for the calculated volume is 19.975 Å³ per atom.

Arrangement ii

ZrReRh: relaxed, GGA-PBE.

a b c (Å): 6.1683 6.1683 6.1683
angles (deg): 90.00 90.00 90.00
Space group F-43m (No. 216)
One atom of each set of equivalent atoms:
Zr1 0.0000 0.0000 0.0000 (multiplicity 4)
Re1 0.0000 0.0000 0.5000 (multiplicity 4)
Rh1 0.2500 0.2500 0.7500 (multiplicity 4)

## Properties
The value obtained for the calculated volume is 19.558 Å³ per atom.

Name the least stable of them. arrangement i.

Arrangement i

ZrReRh: relaxed, GGA-PBE.

a b c (Å): 2.8181 3.8780 9.4656
angles (deg): 90.00 90.00 90.00
Space group Imm2 (No. 44)
One atom of each set of equivalent atoms:
Zr1 0.0000 0.0000 0.0000 (multiplicity 2)
Re1 0.0000 0.0000 0.6874 (multiplicity 2)
Rh1 0.0000 0.0000 0.3054 (multiplicity 2)

## Properties
The value obtained for the calculated volume is 17.241 Å³ per atom.

Arrangement ii

ZrReRh: relaxed, GGA-PBE.

a b c (Å): 2.8589 2.8589 12.3504
angles (deg): 90.00 90.00 90.00
Space group I4mm (No. 107)
One atom of each set of equivalent atoms:
Zr1 0.0000 0.0000 0.0000 (multiplicity 2)
Re1 0.0000 0.0000 0.3183 (multiplicity 2)
Rh1 0.0000 0.0000 0.6807 (multiplicity 2)

## Properties
The value obtained for the calculated volume is 16.824 Å³ per atom.

Arrangement iii

ZrReRh: relaxed, GGA-PBE.

a b c (Å): 4.5685 4.5685 2.8150
angles (deg): 90.00 90.00 120.00
Space group P-6m2 (No. 187)
One atom of each set of equivalent atoms:
Zr1 0.0000 0.0000 0.0000 (multiplicity 1)
Re1 0.3333 0.6667 0.5000 (multiplicity 1)
Rh1 0.6667 0.3333 0.5000 (multiplicity 1)

## Properties
The value obtained for the calculated volume is 16.961 Å³ per atom.

Name the least stable of them. arrangement i.

Arrangement i

Zr4ReRh: relaxed, GGA-PBE.

a b c (Å): 7.9685 4.6128 7.8311
angles (deg): 90.00 109.93 90.00
Space group C2/m (No. 12)
One atom of each set of equivalent atoms:
Zr1 0.1239 0.0000 0.3723 (multiplicity 4)
Zr2 0.1261 0.5000 0.8781 (multiplicity 4)
Re1 0.0000 0.0000 0.0000 (multiplicity 2)
Rh1 0.0000 0.5000 0.5000 (multiplicity 2)

## Properties
The value obtained for the calculated volume is 22.551 Å³ per atom.

Arrangement ii

Zr4ReRh: relaxed, GGA-PBE.

a b c (Å): 3.3481 3.3481 10.4509
angles (deg): 90.00 90.00 90.00
Space group P4/mmm (No. 123)
One atom of each set of equivalent atoms:
Zr1 0.0000 0.0000 0.1531 (multiplicity 2)
Zr2 0.5000 0.5000 0.3473 (multiplicity 2)
Re1 0.0000 0.0000 0.5000 (multiplicity 1)
Rh1 0.5000 0.5000 0.0000 (multiplicity 1)

## Properties
The value obtained for the calculated volume is 19.525 Å³ per atom.

Name the least stable of them. arrangement i.

Arrangement i

Zr3ReRh: relaxed, GGA-PBE.

a b c (Å): 4.9031 4.9031 4.9031
angles (deg): 90.00 90.00 90.00
Space group Pm-3m (No. 221)
One atom of each set of equivalent atoms:
Zr1 0.0000 0.0000 0.5000 (multiplicity 3)
Re1 0.5000 0.5000 0.5000 (multiplicity 1)
Rh1 0.0000 0.0000 0.0000 (multiplicity 1)

## Properties
The value obtained for the calculated volume is 23.574 Å³ per atom.

Arrangement ii

Zr3ReRh: relaxed, GGA-PBE.

a b c (Å): 5.0056 5.0056 5.0056
angles (deg): 90.00 90.00 90.00
Space group Pm-3m (No. 221)
One atom of each set of equivalent atoms:
Zr1 0.0000 0.0000 0.5000 (multiplicity 3)
Re1 0.0000 0.0000 0.0000 (multiplicity 1)
Rh1 0.5000 0.5000 0.5000 (multiplicity 1)

## Properties
The value obtained for the calculated volume is 25.084 Å³ per atom.

Name the least stable of them. arrangement i.

Arrangement i

ReRu5: relaxed, GGA-PBE.

a b c (Å): 2.7088 11.5165 5.4316
angles (deg): 90.00 90.18 90.00
Space group P2_1/m (No. 11)
One atom of each set of equivalent atoms:
Re1 0.2499 0.2500 0.1278 (multiplicity 2)
Ru1 0.2494 0.5825 0.1241 (multiplicity 4)
Ru2 0.2497 0.2500 0.6237 (multiplicity 2)
Ru3 0.2503 0.5847 0.6264 (multiplicity 4)

## Properties
The value obtained for the calculated volume is 14.120 Å³ per atom.

Arrangement ii

ReRu5: relaxed, GGA-PBE.

a b c (Å): 4.9695 4.9695 4.3508
angles (deg): 90.00 90.00 120.00
Space group P6/mmm (No. 191)
One atom of each set of equivalent atoms:
Re1 0.0000 0.0000 0.0000 (multiplicity 1)
Ru1 0.0000 0.5000 0.5000 (multiplicity 3)
Ru2 0.3333 0.6667 0.0000 (multiplicity 2)

## Properties
The value obtained for the calculated volume is 15.508 Å³ per atom.

Name the least stable of them. arrangement ii.

Arrangement i

ReRu5: relaxed, GGA-PBE.

a b c (Å): 3.8384 11.4541 3.8521
angles (deg): 90.00 90.00 90.00
Space group Cmmm (No. 65)
One atom of each set of equivalent atoms:
Re1 0.0000 0.0000 0.0000 (multiplicity 2)
Ru1 0.0000 0.1663 0.5000 (multiplicity 4)
Ru2 0.0000 0.3343 0.0000 (multiplicity 4)
Ru3 0.0000 0.5000 0.5000 (multiplicity 2)

## Properties
The value obtained for the calculated volume is 14.113 Å³ per atom.

Arrangement ii

ReRu5: relaxed, GGA-PBE.

a b c (Å): 4.3336 2.7364 14.2130
angles (deg): 90.00 90.00 90.00
Space group Amm2 (No. 38)
One atom of each set of equivalent atoms:
Re1 0.0000 0.0000 0.0000 (multiplicity 2)
Ru1 0.0000 0.0000 0.3308 (multiplicity 2)
Ru2 0.0000 0.0000 0.6646 (multiplicity 2)
Ru3 0.5000 0.0000 0.1095 (multiplicity 2)
Ru4 0.5000 0.0000 0.4428 (multiplicity 2)
Ru5 0.5000 0.0000 0.7766 (multiplicity 2)

## Properties
The value obtained for the calculated volume is 14.046 Å³ per atom.

Arrangement iii

ReRu5: relaxed, GGA-PBE.

a b c (Å): 7.0780 7.0780 7.0780
angles (deg): 90.00 90.00 90.00
Space group F-43m (No. 216)
One atom of each set of equivalent atoms:
Re1 0.0000 0.0000 0.0000 (multiplicity 4)
Ru1 0.1246 0.1246 0.3754 (multiplicity 16)
Ru2 0.2500 0.2500 0.7500 (multiplicity 4)

## Properties
The value obtained for the calculated volume is 14.775 Å³ per atom.

Name the least stable of them. arrangement iii.

Arrangement i

ReRu2: relaxed, GGA-PBE.

a b c (Å): 8.2565 4.7516 5.1423
angles (deg): 90.00 122.26 90.00
Space group C2/c (No. 15)
One atom of each set of equivalent atoms:
Re1 0.0000 0.0823 0.2500 (multiplicity 4)
Ru1 0.1680 0.4175 0.7544 (multiplicity 8)

## Properties
The value obtained for the calculated volume is 14.216 Å³ per atom.

Arrangement ii

ReRu2: relaxed, GGA-PBE.

a b c (Å): 2.7508 2.7508 23.6288
angles (deg): 90.00 90.00 90.00
Space group I4_1/amd (No. 141, origin choice 2)
One atom of each set of equivalent atoms:
Re1 0.0000 0.2500 0.3750 (multiplicity 4)
Ru1 0.0000 0.2500 0.7971 (multiplicity 8)

## Properties
The value obtained for the calculated volume is 14.900 Å³ per atom.

Arrangement iii

ReRu2: relaxed, GGA-PBE.

a b c (Å): 9.9263 2.7402 6.4536
angles (deg): 90.00 103.70 90.00
Space group C2/m (No. 12)
One atom of each set of equivalent atoms:
Re1 0.0282 0.0000 0.3066 (multiplicity 4)
Ru1 0.1394 0.5000 0.0272 (multiplicity 4)
Ru2 0.1947 0.5000 0.6385 (multiplicity 4)

## Properties
The value obtained for the calculated volume is 14.212 Å³ per atom.

Arrangement iv

ReRu2: relaxed, GGA-PBE.

a b c (Å): 2.6923 4.0640 17.1483
angles (deg): 90.00 90.00 90.00
Space group Imma (No. 74)
One atom of each set of equivalent atoms:
Re1 0.0000 0.2500 0.1096 (multiplicity 4)
Ru1 0.0000 0.2500 0.5393 (multiplicity 4)
Ru2 0.0000 0.2500 0.6877 (multiplicity 4)

## Properties
The value obtained for the calculated volume is 15.636 Å³ per atom.

Name the least stable of them. arrangement iv.

Arrangement i

ReRu2: relaxed, GGA-PBE.

a b c (Å): 4.1859 4.1859 2.9440
angles (deg): 90.00 90.00 90.00
Space group P4/mmm (No. 123)
One atom of each set of equivalent atoms:
Re1 0.0000 0.0000 0.0000 (multiplicity 1)
Ru1 0.0000 0.5000 0.5000 (multiplicity 2)

## Properties
The value obtained for the calculated volume is 17.195 Å³ per atom.

Arrangement ii

ReRu2: relaxed, GGA-PBE.

a b c (Å): 2.7307 2.7307 11.5051
angles (deg): 90.00 90.00 90.00
Space group I4/mmm (No. 139)
One atom of each set of equivalent atoms:
Re1 0.0000 0.0000 0.0000 (multiplicity 2)
Ru1 0.0000 0.0000 0.3340 (multiplicity 4)

## Properties
The value obtained for the calculated volume is 14.298 Å³ per atom.

Name the least stable of them. arrangement i.